Compound: CsK2U3S8
Source: Alexandria via LeMat-Bulk
Functional: GGA-PBE
Structure: optimized geometry

Cell: 8.2473 8.2473 9.1608 Å, 63.25 63.25 60.00°
Positions (direct):
S1 0.7527 0.3173 0.1773
S2 0.7527 0.7527 0.1773
S3 0.2455 0.2455 0.8186
S4 0.2720 0.2720 0.1840
S5 0.2455 0.6904 0.8186
S6 0.7242 0.7242 0.8275
S7 0.6904 0.2455 0.8186
S8 0.3173 0.7527 0.1773
K1 0.4998 0.4998 0.5005
K2 0.1281 0.1281 0.6158
U1 0.0012 0.4996 0.9996
U2 0.4996 0.0012 0.9996
U3 0.4996 0.4996 0.9996
Cs1 0.8641 0.8641 0.4078

Fermi-level density of states	1.0866	states/eV/atom
energy relative to the elements, uncorrected	-131.70	kJ per mole of atoms